[1]
{"formula": "Ti5Be3", "functional": "PBE-GGA", "state": "relaxed", "formation_energy_ev_per_atom": -0.074, "spacegroup": "P4/mmm (123)", "total_energy_ev_per_atom": -6.41, "volume_a3_per_cell": 111.7, "lattice": [[-1.333, -1.861, 1.807], [1.977, -2.044, -0.647], [7.559, 4.183, 9.886]], "species": ["Be", "Ti", "Ti", "Be", "Ti", "Be", "Ti", "Ti"], "fractional_positions": [[0.000, 0.000, 0.500], [0.000, 0.000, 0.000], [0.000, 0.000, 0.767], [0.500, 0.500, 0.886], [0.500, 0.500, 0.620], [0.500, 0.500, 0.114], [0.000, 0.000, 0.233], [0.500, 0.500, 0.380]]}

---

[2]
{"formula": "TiBe12", "functional": "PBE-GGA", "state": "relaxed", "formation_energy_ev_per_atom": -0.159, "spacegroup": "I4/mmm (139)", "total_energy_ev_per_atom": -4.21, "volume_a3_per_cell": 111.4, "lattice": [[-5.515, 0.425, -0.693], [4.332, -1.577, -3.133], [0.009, -4.291, 3.558]], "species": ["Be", "Be", "Be", "Be", "Be", "Ti", "Be", "Be", "Be", "Be", "Be", "Be", "Be"], "fractional_positions": [[0.500, 0.717, 0.217], [0.500, 0.000, 0.000], [0.500, 0.500, 0.500], [0.000, 0.500, 0.000], [0.648, 0.000, 0.648], [0.000, 0.000, 0.000], [0.717, 0.500, 0.217], [0.500, 0.283, 0.783], [0.000, 0.352, 0.352], [0.283, 0.500, 0.783], [0.000, 0.648, 0.648], [0.352, 0.000, 0.352], [0.000, 0.000, 0.500]]}

---

[3]
{"formula": "TiBe12", "functional": "PBE-GGA", "state": "relaxed", "formation_energy_ev_per_atom": 1.034, "spacegroup": "Fm-3m (225)", "total_energy_ev_per_atom": -3.01, "volume_a3_per_cell": 161.8, "lattice": [[6.116, 0.000, 0.000], [3.058, 5.297, 0.000], [3.058, 1.766, 4.994]], "species": ["Be", "Be", "Be", "Ti", "Be", "Be", "Be", "Be", "Be", "Be", "Be", "Be", "Be"], "fractional_positions": [[0.500, 0.165, 0.835], [0.835, 0.500, 0.165], [0.835, 0.500, 0.500], [0.000, 0.000, 0.000], [0.500, 0.835, 0.165], [0.500, 0.165, 0.500], [0.165, 0.500, 0.500], [0.165, 0.835, 0.500], [0.500, 0.500, 0.165], [0.165, 0.500, 0.835], [0.500, 0.835, 0.500], [0.500, 0.500, 0.835], [0.835, 0.165, 0.500]]}

---

[4]
{"formula": "Ti4Be", "functional": "PBE-GGA", "state": "relaxed", "formation_energy_ev_per_atom": 0.678, "spacegroup": "Fd-3m (227)", "total_energy_ev_per_atom": -6.38, "volume_a3_per_cell": 174.7, "lattice": [[-2.661, -5.502, 1.424], [-6.165, -0.304, 1.129], [-3.810, -2.803, -4.124]], "species": ["Ti", "Ti", "Ti", "Be", "Be", "Ti", "Ti", "Ti", "Ti", "Ti"], "fractional_positions": [[0.858, 0.858, 0.427], [0.427, 0.858, 0.858], [0.392, 0.392, 0.823], [0.000, 0.000, 0.000], [0.250, 0.250, 0.250], [0.858, 0.858, 0.858], [0.392, 0.392, 0.392], [0.858, 0.427, 0.858], [0.823, 0.392, 0.392], [0.392, 0.823, 0.392]]}

---

[5]
{"formula": "Ti3Be", "functional": "PBE-GGA", "state": "relaxed", "formation_energy_ev_per_atom": 0.024, "spacegroup": "Imm2 (44)", "total_energy_ev_per_atom": -6.83, "volume_a3_per_cell": 60.6, "lattice": [[-0.087, 2.950, -0.381], [-2.375, 0.408, 3.708], [5.112, -1.249, 0.774]], "species": ["Ti", "Be", "Ti", "Ti"], "fractional_positions": [[0.283, 0.695, 0.565], [0.000, 0.922, 0.000], [0.500, 0.419, 0.000], [0.717, 0.130, 0.435]]}

---

[6]
{"formula": "TiBe2", "functional": "PBE-GGA", "state": "relaxed", "formation_energy_ev_per_atom": -0.201, "spacegroup": "Fd-3m (227)", "total_energy_ev_per_atom": -5.32, "volume_a3_per_cell": 66.5, "lattice": [[-1.593, -1.278, 4.064], [0.025, -4.394, 1.173], [2.868, -1.482, 3.203]], "species": ["Be", "Ti", "Ti", "Be", "Be", "Be"], "fractional_positions": [[0.625, 0.125, 0.625], [0.250, 0.250, 0.250], [0.000, 0.000, 0.000], [0.625, 0.625, 0.625], [0.125, 0.625, 0.625], [0.625, 0.625, 0.125]]}

---

[7]
{"formula": "Ti6Be23", "functional": "PBE-GGA", "state": "relaxed", "formation_energy_ev_per_atom": -0.215, "spacegroup": "Fm-3m (225)", "total_energy_ev_per_atom": -4.80, "volume_a3_per_cell": 282.9, "lattice": [[6.382, 0.000, 3.684], [2.127, 6.017, 3.684], [0.000, 0.000, 7.369]], "species": ["Be", "Ti", "Be", "Be", "Be", "Be", "Be", "Be", "Be", "Ti", "Be", "Ti", "Ti", "Ti", "Ti", "Be", "Be", "Be", "Be", "Be", "Be", "Be", "Be", "Be", "Be", "Be", "Be", "Be", "Be"], "fractional_positions": [[0.825, 0.825, 0.825], [0.802, 0.802, 0.198], [0.175, 0.175, 0.175], [0.872, 0.376, 0.376], [0.376, 0.376, 0.376], [0.500, 0.000, 0.500], [0.500, 0.500, 0.500], [0.500, 0.000, 0.000], [0.525, 0.825, 0.825], [0.198, 0.802, 0.198], [0.475, 0.175, 0.175], [0.802, 0.198, 0.198], [0.802, 0.198, 0.802], [0.198, 0.198, 0.802], [0.198, 0.802, 0.802], [0.000, 0.500, 0.000], [0.175, 0.475, 0.175], [0.000, 0.500, 0.500], [0.175, 0.175, 0.475], [0.624, 0.128, 0.624], [0.624, 0.624, 0.624], [0.500, 0.500, 0.000], [0.624, 0.624, 0.128], [0.000, 0.000, 0.500], [0.825, 0.525, 0.825], [0.376, 0.872, 0.376], [0.376, 0.376, 0.872], [0.825, 0.825, 0.525], [0.128, 0.624, 0.624]]}

---

[8]
{"formula": "TiBe12", "functional": "PBE-GGA", "state": "relaxed", "formation_energy_ev_per_atom": -0.074, "spacegroup": "P6/mmm (191)", "total_energy_ev_per_atom": -4.12, "volume_a3_per_cell": 113.7, "lattice": [[-2.610, 2.945, 1.573], [-0.395, -1.247, -4.031], [-4.657, -5.237, 2.076]], "species": ["Be", "Be", "Ti", "Be", "Be", "Be", "Be", "Be", "Be", "Be", "Be", "Be", "Be"], "fractional_positions": [[0.333, 0.667, 0.000], [0.500, 0.000, 0.760], [0.000, 0.000, 0.000], [0.000, 0.500, 0.760], [0.000, 0.000, 0.346], [0.000, 0.500, 0.240], [0.333, 0.667, 0.500], [0.500, 0.000, 0.240], [0.500, 0.500, 0.240], [0.500, 0.500, 0.760], [0.000, 0.000, 0.654], [0.667, 0.333, 0.000], [0.667, 0.333, 0.500]]}

---

[9]
{"formula": "Ti3BeTl", "functional": "PBE-GGA", "state": "relaxed", "formation_energy_ev_per_atom": 0.189, "spacegroup": "Pm-3m (221)", "total_energy_ev_per_atom": -5.77, "volume_a3_per_cell": 87.9, "lattice": [[4.446, 0.000, 0.000], [0.000, 4.446, 0.000], [0.000, 0.000, 4.446]], "species": ["Ti", "Be", "Tl", "Ti", "Ti"], "fractional_positions": [[0.000, 0.500, 0.000], [0.000, 0.000, 0.000], [0.500, 0.500, 0.500], [0.500, 0.000, 0.000], [0.000, 0.000, 0.500]]}

---

[10]
{"formula": "Ti2BeTl", "functional": "PBE-GGA", "state": "relaxed", "formation_energy_ev_per_atom": 0.065, "spacegroup": "P4/mmm (123)", "total_energy_ev_per_atom": -5.41, "volume_a3_per_cell": 65.8, "lattice": [[-2.381, -0.861, 1.423], [-0.213, -2.306, -1.753], [4.431, -4.141, 4.909]], "species": ["Tl", "Be", "Ti", "Ti"], "fractional_positions": [[0.500, 0.500, 0.500], [0.500, 0.500, 0.000], [0.000, 0.000, 0.799], [0.000, 0.000, 0.201]]}

---

[11]
{"formula": "TiBeTl2", "functional": "PBE-GGA", "state": "relaxed", "formation_energy_ev_per_atom": 0.513, "spacegroup": "I-42d (122)", "total_energy_ev_per_atom": -3.57, "volume_a3_per_cell": 159.9, "lattice": [[-2.484, 2.699, 6.416], [-4.064, -6.094, 0.990], [-1.035, -2.963, 5.102]], "species": ["Ti", "Tl", "Tl", "Be", "Tl", "Ti", "Tl", "Be"], "fractional_positions": [[0.750, 0.250, 0.500], [0.375, 0.421, 0.750], [0.875, 0.829, 0.750], [0.250, 0.750, 0.500], [0.579, 0.125, 0.250], [0.000, 0.000, 0.000], [0.171, 0.625, 0.250], [0.500, 0.500, 0.000]]}

---

[12]
{"formula": "Ti2BeTl", "functional": "PBE-GGA", "state": "relaxed", "formation_energy_ev_per_atom": 0.449, "spacegroup": "I-42d (122)", "total_energy_ev_per_atom": -5.02, "volume_a3_per_cell": 140.0, "lattice": [[-5.740, -0.919, 4.303], [4.303, -2.650, 5.174], [-0.379, 0.682, 5.719]], "species": ["Ti", "Be", "Be", "Ti", "Ti", "Tl", "Ti", "Tl"], "fractional_positions": [[0.593, 0.125, 0.250], [0.500, 0.500, 0.000], [0.250, 0.750, 0.500], [0.875, 0.843, 0.750], [0.157, 0.625, 0.250], [0.000, 0.000, 0.000], [0.375, 0.407, 0.750], [0.750, 0.250, 0.500]]}